1) {"formula": "La4Cd5", "functional": "PBE-GGA", "state": "relaxed", "spacegroup": "P6_3/mcm, No. 193", "cell": [[9.594, 0.000, 0.000], [-4.797, 8.309, 0.000], [0.000, 0.000, 6.804]], "species": ["La", "La", "La", "La", "La", "La", "La", "La", "Cd", "Cd", "Cd", "Cd", "Cd", "Cd", "Cd", "Cd", "Cd", "Cd"], "frac_coords": [[0.000, 0.000, 0.000], [0.000, 0.000, 0.500], [0.000, 0.364, 0.250], [0.000, 0.636, 0.750], [0.364, 0.000, 0.250], [0.364, 0.364, 0.750], [0.636, 0.000, 0.750], [0.636, 0.636, 0.250], [0.000, 0.310, 0.750], [0.000, 0.690, 0.250], [0.310, 0.000, 0.750], [0.310, 0.310, 0.250], [0.333, 0.667, 0.000], [0.333, 0.667, 0.500], [0.667, 0.333, 0.000], [0.667, 0.333, 0.500], [0.690, 0.000, 0.250], [0.690, 0.690, 0.750]]}

2) {"formula": "La4Cd5", "functional": "PBE-GGA", "state": "relaxed", "spacegroup": "I4/mmm, No. 139", "cell": [[-5.047, 5.047, 2.596], [5.047, -5.047, 2.596], [5.047, 5.047, -2.596]], "species": ["La", "La", "La", "La", "Cd", "Cd", "Cd", "Cd", "Cd"], "frac_coords": [[0.000, 0.317, 0.317], [0.000, 0.683, 0.683], [0.317, 0.000, 0.317], [0.683, 0.000, 0.683], [0.000, 0.000, 0.000], [0.343, 0.343, 0.687], [0.343, 0.657, 0.000], [0.657, 0.343, 0.000], [0.657, 0.657, 0.313]]}

We find 1) to be the most stable, with the next structure 36 meV per atom higher.

1) {"formula": "La5Cd", "functional": "PBE-GGA", "state": "relaxed", "spacegroup": "P-62m, No. 189", "cell": [[6.315, 0.000, 0.000], [-3.157, 5.469, 0.000], [0.000, 0.000, 5.849]], "species": ["La", "La", "La", "La", "La", "Cd"], "frac_coords": [[0.000, 0.688, 0.000], [0.312, 0.312, 0.000], [0.333, 0.667, 0.500], [0.667, 0.333, 0.500], [0.688, 0.000, 0.000], [0.000, 0.000, 0.500]]}

2) {"formula": "La5Cd", "functional": "PBE-GGA", "state": "relaxed", "spacegroup": "Cm, No. 8", "cell": [[5.940, -1.824, 0.000], [5.940, 1.824, 0.000], [-0.553, 0.000, 9.636]], "species": ["La", "La", "La", "La", "La", "Cd"], "frac_coords": [[0.000, 0.000, 0.000], [0.006, 0.006, 0.376], [0.271, 0.271, 0.193], [0.442, 0.442, 0.664], [0.724, 0.724, 0.852], [0.732, 0.732, 0.496]]}

We find 1) to be the most stable, with the next structure 63 meV per atom higher.

1) {"formula": "La5Cd", "functional": "PBE-GGA", "state": "relaxed", "spacegroup": "Cmmm, No. 65", "cell": [[2.533, -7.832, 0.000], [2.533, 7.832, 0.000], [0.000, 0.000, 5.132]], "species": ["La", "La", "La", "La", "La", "Cd"], "frac_coords": [[0.000, 0.000, 0.000], [0.168, 0.832, 0.500], [0.339, 0.661, 0.000], [0.661, 0.339, 0.000], [0.832, 0.168, 0.500], [0.500, 0.500, 0.500]]}

2) {"formula": "La5Cd", "functional": "PBE-GGA", "state": "relaxed", "spacegroup": "F-43m, No. 216", "cell": [[0.000, 4.725, 4.725], [4.725, 0.000, 4.725], [4.725, 4.725, 0.000]], "species": ["La", "La", "La", "La", "La", "Cd"], "frac_coords": [[0.000, 0.000, 0.000], [0.376, 0.376, 0.376], [0.376, 0.376, 0.873], [0.376, 0.873, 0.376], [0.873, 0.376, 0.376], [0.750, 0.750, 0.750]]}

We find 1) to be the most stable, with the next structure 264 meV per atom higher.

1) {"formula": "La3Cd5", "functional": "PBE-GGA", "state": "relaxed", "spacegroup": "Cmmm, No. 65", "cell": [[3.862, -5.558, 0.000], [3.862, 5.558, 0.000], [0.000, 0.000, 5.382]], "species": ["La", "La", "La", "Cd", "Cd", "Cd", "Cd", "Cd"], "frac_coords": [[0.000, 0.000, 0.000], [0.280, 0.720, 0.500], [0.720, 0.280, 0.500], [0.000, 0.500, 0.000], [0.230, 0.230, 0.500], [0.500, 0.000, 0.000], [0.500, 0.500, 0.000], [0.770, 0.770, 0.500]]}

2) {"formula": "La3Cd5", "functional": "PBE-GGA", "state": "relaxed", "spacegroup": "P1, No. 1", "cell": [[5.970, 0.000, 0.000], [2.955, 8.834, 0.000], [2.955, 0.004, 8.834]], "species": ["La", "La", "La", "La", "La", "La", "Cd", "Cd", "Cd", "Cd", "Cd", "Cd", "Cd", "Cd", "Cd", "Cd"], "frac_coords": [[0.000, 0.000, 0.000], [0.079, 0.500, 0.841], [0.159, 0.340, 0.340], [0.500, 0.660, 0.340], [0.579, 0.500, 0.841], [0.660, 0.000, 0.679], [0.073, 0.183, 0.670], [0.080, 0.999, 0.341], [0.085, 0.671, 0.158], [0.256, 0.817, 0.670], [0.403, 0.183, 0.011], [0.573, 0.330, 0.524], [0.580, 0.001, 0.339], [0.586, 0.817, 0.010], [0.756, 0.329, 0.158], [0.903, 0.670, 0.524]]}

We find 1) to be the most stable, with the next structure 78 meV per atom higher.

1) {"formula": "La3Cd5", "functional": "PBE-GGA", "state": "relaxed", "spacegroup": "Im-3m, No. 229", "cell": [[-3.875, 3.875, 3.875], [3.875, -3.875, 3.875], [3.875, 3.875, -3.875]], "species": ["La", "La", "La", "Cd", "Cd", "Cd", "Cd", "Cd"], "frac_coords": [[0.000, 0.500, 0.500], [0.500, 0.000, 0.500], [0.500, 0.500, 0.000], [0.000, 0.000, 0.000], [0.000, 0.000, 0.500], [0.000, 0.500, 0.000], [0.500, 0.000, 0.000], [0.500, 0.500, 0.500]]}

2) {"formula": "La3Cd5", "functional": "PBE-GGA", "state": "relaxed", "spacegroup": "Ama2, No. 40", "cell": [[5.618, 0.000, 0.000], [0.000, 4.734, 8.835], [0.000, -4.734, 8.835]], "species": ["La", "La", "La", "La", "La", "La", "Cd", "Cd", "Cd", "Cd", "Cd", "Cd", "Cd", "Cd", "Cd", "Cd"], "frac_coords": [[0.250, 0.085, 0.915], [0.250, 0.488, 0.129], [0.250, 0.871, 0.512], [0.750, 0.129, 0.488], [0.750, 0.512, 0.871], [0.750, 0.915, 0.085], [0.000, 0.166, 0.166], [0.000, 0.834, 0.834], [0.250, 0.302, 0.518], [0.250, 0.482, 0.697], [0.250, 0.712, 0.288], [0.500, 0.166, 0.166], [0.500, 0.834, 0.834], [0.750, 0.288, 0.712], [0.750, 0.518, 0.302], [0.750, 0.697, 0.482]]}

We find 1) to be the most stable, with the next structure 100 meV per atom higher.

1) {"formula": "LaCd7", "functional": "PBE-GGA", "state": "relaxed", "spacegroup": "Fm-3m, No. 225", "cell": [[0.000, 4.703, 4.703], [4.703, 0.000, 4.703], [4.703, 4.703, 0.000]], "species": ["La", "Cd", "Cd", "Cd", "Cd", "Cd", "Cd", "Cd"], "frac_coords": [[0.000, 0.000, 0.000], [0.000, 0.000, 0.500], [0.000, 0.500, 0.000], [0.000, 0.500, 0.500], [0.500, 0.000, 0.000], [0.500, 0.000, 0.500], [0.500, 0.500, 0.000], [0.500, 0.500, 0.500]]}

2) {"formula": "LaCd7", "functional": "PBE-GGA", "state": "relaxed", "spacegroup": "C2/m, No. 12", "cell": [[5.977, -4.185, 0.000], [5.977, 4.185, 0.000], [-1.476, 0.000, 3.976]], "species": ["La", "Cd", "Cd", "Cd", "Cd", "Cd", "Cd", "Cd"], "frac_coords": [[0.000, 0.000, 0.000], [0.171, 0.559, 0.364], [0.239, 0.239, 0.738], [0.441, 0.829, 0.636], [0.500, 0.500, 0.000], [0.559, 0.171, 0.364], [0.761, 0.761, 0.262], [0.829, 0.441, 0.636]]}

We find 2) to be the most stable, with the next structure 134 meV per atom higher.

1) {"formula": "La8Cd", "functional": "PBE-GGA", "state": "relaxed", "spacegroup": "I4/mmm, No. 139", "cell": [[-6.460, 6.460, 1.910], [6.460, -6.460, 1.910], [6.460, 6.460, -1.910]], "species": ["La", "La", "La", "La", "La", "La", "La", "La", "Cd"], "frac_coords": [[0.000, 0.332, 0.332], [0.000, 0.668, 0.668], [0.332, 0.000, 0.332], [0.345, 0.345, 0.689], [0.345, 0.655, 0.000], [0.655, 0.345, 0.000], [0.655, 0.655, 0.311], [0.668, 0.000, 0.668], [0.000, 0.000, 0.000]]}

2) {"formula": "La8Cd", "functional": "PBE-GGA", "state": "relaxed", "spacegroup": "I4/mmm, No. 139", "cell": [[-5.513, 5.513, 2.587], [5.513, -5.513, 2.587], [5.513, 5.513, -2.587]], "species": ["La", "La", "La", "La", "La", "La", "La", "La", "Cd"], "frac_coords": [[0.000, 0.324, 0.324], [0.000, 0.676, 0.676], [0.324, 0.000, 0.324], [0.333, 0.333, 0.667], [0.333, 0.667, 0.000], [0.667, 0.333, 0.000], [0.667, 0.667, 0.333], [0.676, 0.000, 0.676], [0.000, 0.000, 0.000]]}

We find 2) to be the most stable, with the next structure 22 meV per atom higher.

1) {"formula": "LaCd6", "functional": "PBE-GGA", "state": "relaxed", "spacegroup": "Im-3m, No. 229", "cell": [[-3.836, 3.836, 3.836], [3.836, -3.836, 3.836], [3.836, 3.836, -3.836]], "species": ["La", "Cd", "Cd", "Cd", "Cd", "Cd", "Cd"], "frac_coords": [[0.000, 0.000, 0.000], [0.250, 0.500, 0.750], [0.250, 0.750, 0.500], [0.500, 0.250, 0.750], [0.500, 0.750, 0.250], [0.750, 0.250, 0.500], [0.750, 0.500, 0.250]]}

2) {"formula": "LaCd6", "functional": "PBE-GGA", "state": "relaxed", "spacegroup": "Pnma, No. 62", "cell": [[9.412, 0.000, 0.000], [0.000, 6.084, 0.000], [0.000, 0.000, 11.882]], "species": ["La", "La", "La", "La", "Cd", "Cd", "Cd", "Cd", "Cd", "Cd", "Cd", "Cd", "Cd", "Cd", "Cd", "Cd", "Cd", "Cd", "Cd", "Cd", "Cd", "Cd", "Cd", "Cd", "Cd", "Cd", "Cd", "Cd"], "frac_coords": [[0.242, 0.250, 0.057], [0.258, 0.750, 0.557], [0.742, 0.250, 0.443], [0.758, 0.750, 0.943], [0.065, 0.750, 0.085], [0.070, 0.016, 0.309], [0.070, 0.484, 0.309], [0.098, 0.250, 0.525], [0.132, 0.750, 0.848], [0.187, 0.250, 0.762], [0.313, 0.750, 0.262], [0.368, 0.250, 0.348], [0.402, 0.750, 0.025], [0.430, 0.516, 0.809], [0.430, 0.984, 0.809], [0.435, 0.250, 0.585], [0.565, 0.750, 0.415], [0.570, 0.016, 0.191], [0.570, 0.484, 0.191], [0.598, 0.250, 0.975], [0.632, 0.750, 0.652], [0.687, 0.250, 0.738], [0.813, 0.750, 0.238], [0.868, 0.250, 0.152], [0.902, 0.750, 0.475], [0.930, 0.516, 0.691], [0.930, 0.984, 0.691], [0.935, 0.250, 0.915]]}

We find 2) to be the most stable, with the next structure 479 meV per atom higher.